No. 1
# Sr2HgAu2

A geometry-optimized Sr2HgAu2 structure (PBE-GGA, Alexandria via LeMat-Bulk).

## Properties
SG = I4/mmm
energy relative to the elements = -2.8 eV/f.u.

Lattice parameters (Å, degrees): 6.0926 6.0926 5.9875 59.42 59.42 90.00
With the nearest neighbours (Å) after each atom.
Sites, in units of the cell vectors:
Sr1 0.7500 0.2500 0.5000  4 Au 3.14
Sr2 0.2500 0.7500 0.5000  4 Au 3.14
Au1 0.3402 0.3402 0.3195  1 Au 2.66, 1 Hg 2.83
Au2 0.6598 0.6598 0.6805  1 Au 2.66, 1 Hg 2.83
Hg1 0.0000 0.0000 0.0000  2 Au 2.83


No. 2
# Ce2HgCl

A geometry-optimized Ce2HgCl structure (PBE-GGA, Alexandria via LeMat-Bulk).

## Properties
SG = R-3m
formation energy (no corrections) = -773 meV/atom
energy relative to the lowest polymorph listed for this composition = 0 meV/atom

Lattice parameters (Å, degrees): 4.3096 4.3096 7.2630 72.74 72.74 60.00
With the nearest neighbours (Å) after each atom.
Sites, in units of the cell vectors:
Hg1 0.5000 0.5000 0.5000  6 Ce 3.16
Ce1 0.2622 0.2622 0.2134  3 Cl 2.88, 3 Hg 3.16
Ce2 0.7378 0.7378 0.7866  3 Cl 2.88, 3 Hg 3.16
Cl1 0.0000 0.0000 0.0000  6 Ce 2.88


No. 3
# Zr3TlOs

A geometry-optimized Zr3TlOs structure (PBE-GGA, Alexandria via LeMat-Bulk).

## Properties
SG = Pm-3m
energy relative to the elements = 1.4 eV/f.u.
energy relative to the lowest polymorph listed for this composition = 0 meV/atom

Lattice parameters (Å, degrees): 5.0777 5.0777 5.0777 90.00 90.00 90.00
With the nearest neighbours (Å) after each atom.
Sites, in units of the cell vectors:
Tl1 0.5000 0.5000 0.5000  12 Zr 3.59
Os1 0.0000 0.0000 0.0000  6 Zr 2.54
Zr1 0.0000 0.5000 0.0000  2 Os 2.54
Zr2 0.0000 0.0000 0.5000  2 Os 2.54
Zr3 0.5000 0.0000 0.0000  2 Os 2.54


No. 4
# BiPdRh

A geometry-optimized BiPdRh structure (PBE-GGA, Alexandria via LeMat-Bulk).

## Properties
SG = I4mm
energy relative to the elements = 0.0 eV/f.u.

Lattice parameters (Å, degrees): 3.5987 3.5987 4.9737 111.21 111.21 90.00
With the nearest neighbours (Å) after each atom.
Sites, in units of the cell vectors:
Rh1 0.6179 0.6179 0.2359  5 Bi 2.85-2.91, 5 Pd 2.89-2.90
Bi1 0.9518 0.9518 0.9036  5 Pd 2.81-2.94, 5 Rh 2.85-2.91
Pd1 0.2803 0.2803 0.5605  5 Bi 2.81-2.94, 5 Rh 2.89-2.90


No. 5
# Er6TlSi2S3

A geometry-optimized Er6TlSi2S3 structure (PBE-GGA, Alexandria via LeMat-Bulk).

## Properties
SG = C2/m
formation energy (no corrections) = -1244 meV/atom

Lattice parameters (Å, degrees): 3.9944 8.1851 9.1703 108.08 102.58 90.00
With the nearest neighbours (Å) after each atom.
Sites, in units of the cell vectors:
Er1 0.3250 0.9195 0.6501  3 S 2.67-2.87, 2 Si 2.85, 1 Tl 2.99
Er2 0.6703 0.5701 0.3407  3 Si 2.85-2.88, 3 S 2.89-2.92
Er3 0.6750 0.0805 0.3499  3 S 2.67-2.87, 2 Si 2.85, 1 Tl 2.99
Er4 0.9939 0.2739 0.9877  3 S 2.70-2.75, 1 Si 2.89
Er5 0.0061 0.7261 0.0123  3 S 2.70-2.75, 1 Si 2.89
Er6 0.3297 0.4299 0.6593  3 Si 2.85-2.88, 3 S 2.89-2.92
Tl1 0.5000 0.0000 0.0000  6 Er 2.99-3.03
Si1 0.8398 0.6838 0.6796  6 Er 2.85-2.89
Si2 0.1602 0.3162 0.3204  6 Er 2.85-2.89
S1 0.5000 0.5000 0.0000  6 Er 2.70-2.92
S2 0.8322 0.1760 0.6645  6 Er 2.67-2.89
S3 0.1678 0.8240 0.3355  6 Er 2.67-2.89


No. 6
# ZrCu2Au

A geometry-optimized ZrCu2Au structure (PBE-GGA, Alexandria via LeMat-Bulk).

## Properties
SG = Pmm2
energy relative to the elements = -0.8 eV/f.u.
energy relative to the lowest polymorph listed for this composition = 71 meV/atom

Lattice parameters (Å, degrees): 2.9509 3.4011 6.4434 90.00 90.00 90.00
With the nearest neighbours (Å) after each atom.
Sites, in units of the cell vectors:
Au1 0.5000 0.5000 0.7827  5 Cu 2.74-2.76, 2 Au 2.95, 4 Zr 2.97
Cu1 0.0000 0.0000 0.0249  4 Cu 2.55, 4 Au 2.74
Cu2 0.5000 0.5000 0.2106  4 Cu 2.55, 1 Au 2.76, 4 Zr 2.85
Zr1 0.0000 0.0000 0.4818  5 Cu 2.85-2.94, 2 Zr 2.95, 4 Au 2.97